Record 1
LiIrOs2 | PBE | relaxed

Output
For the offset from the most stable computed form, the calculation gives 9.4 meV/atom. Its density of states at the Fermi level is 2.86 states/eV/f.u. For the energy relative to the elements, the calculation gives 0.12 eV/atom.

Geometry as POSCAR:
```
LiIrOs2
1.0
2.727 0.000 0.000
0.000 3.818 0.000
0.000 0.000 5.268
Li Os Ir
1 2 1
Direct
0.500 0.500 0.741 Li
0.500 0.500 0.238 Os
0.000 0.000 0.003 Os
0.000 0.000 0.518 Ir
```

Record 2
LiIr2Os | PBE | relaxed

Output
For the offset from the most stable computed form, the calculation gives 163.2 meV/atom. Its density of states at the Fermi level is 2.38 states/eV/f.u. For the energy relative to the elements, the calculation gives 0.14 eV/atom.

Geometry as POSCAR:
```
LiIr2Os
1.0
-0.825 -4.782 -1.241
3.917 -3.118 0.163
-3.000 3.109 2.536
Ir Os Li
2 1 1
Direct
0.273 0.773 0.500 Ir
0.996 0.996 0.000 Ir
0.732 0.232 0.500 Os
0.499 0.499 0.000 Li
```

Record 3
LiIrOs2 | PBE | relaxed

Output
For the offset from the most stable computed form, the calculation gives 114.1 meV/atom. Its density of states at the Fermi level is 3.04 states/eV/f.u. For the energy relative to the elements, the calculation gives 0.23 eV/atom.

Geometry as POSCAR:
```
LiIrOs2
1.0
-2.132 0.659 4.482
1.797 -2.695 3.817
0.978 3.414 -3.529
Os Ir Li
2 1 1
Direct
0.986 0.986 0.000 Os
0.514 0.514 0.000 Os
0.250 0.750 0.500 Ir
0.750 0.250 0.500 Li
```

Record 4
Li2IrOs | PBE | relaxed

Output
For the offset from the most stable computed form, the calculation gives 63.7 meV/atom. Its density of states at the Fermi level is 2.50 states/eV/f.u. For the energy relative to the elements, the calculation gives 0.00 eV/atom.

Geometry as POSCAR:
```
Li2IrOs
1.0
-2.552 0.024 3.763
1.550 -1.873 1.063
2.776 3.133 1.863
Li Ir Os
2 1 1
Direct
0.000 0.513 0.500 Li
0.000 0.987 0.000 Li
0.500 0.750 0.750 Ir
0.500 0.250 0.250 Os
```

Record 5
LiIr2Os | PBE | relaxed

Output
For the offset from the most stable computed form, the calculation gives 256.4 meV/atom. Its density of states at the Fermi level is 5.86 states/eV/f.u. For the energy relative to the elements, the calculation gives 0.23 eV/atom.

Geometry as POSCAR:
```
LiIr2Os
1.0
-1.412 -2.793 2.938
-4.116 0.062 1.216
-2.629 -3.189 -1.160
Ir Li Os
2 1 1
Direct
0.250 0.250 0.250 Ir
0.750 0.750 0.750 Ir
0.000 0.000 0.000 Li
0.500 0.500 0.500 Os
```

Record 6
Li2IrOs | PBE | relaxed

Output
For the offset from the most stable computed form, the calculation gives 57.9 meV/atom. Its density of states at the Fermi level is 3.53 states/eV/f.u. For the energy relative to the elements, the calculation gives -0.01 eV/atom.

Geometry as POSCAR:
```
Li2IrOs
1.0
-1.858 -0.568 -4.356
-2.778 -2.568 -2.904
-3.991 2.251 0.570
Ir Li Os
1 2 1
Direct
0.250 0.250 0.250 Ir
0.502 0.502 0.498 Li
0.998 0.998 0.002 Li
0.750 0.750 0.750 Os
```